#w
Ba2MgCdPt | PBE | relaxed

Cell lengths 6.141, 6.141, 5.319 Å; angles 90.00, 90.00, 90.00 degrees
Fractional coordinates of all 5 atoms:
Pt  0.000  0.000  0.000
Cd  0.000  0.000  0.500
Ba  0.000  0.500  0.000
Mg  0.500  0.500  0.500
Ba  0.500  0.000  0.000

#x
Ba2MgCdPt | PBE | relaxed

Cell lengths 6.147, 6.147, 5.145 Å; angles 90.00, 90.00, 90.00 degrees
Fractional coordinates of all 5 atoms:
Ba  0.500  0.000  0.000
Ba  0.000  0.500  0.000
Mg  0.000  0.000  0.500
Cd  0.500  0.500  0.500
Pt  0.000  0.000  0.000

Which one sits at the top of the stability order? #x does.

#w
BaMgTl2Cd | PBE | relaxed

Cell lengths 4.910, 4.910, 7.308 Å; angles 109.63, 109.63, 90.00 degrees
Fractional coordinates of all 5 atoms:
Mg  0.750  0.250  0.500
Tl  0.382  0.382  0.765
Cd  0.250  0.750  0.500
Tl  0.618  0.618  0.235
Ba  0.000  0.000  0.000

#x
BaMgTl2Cd | PBE | relaxed

Cell lengths 5.569, 5.569, 5.487 Å; angles 90.00, 90.00, 90.00 degrees
Fractional coordinates of all 5 atoms:
Cd  0.000  0.000  0.500
Mg  0.000  0.000  0.000
Tl  0.500  0.000  0.000
Tl  0.000  0.500  0.000
Ba  0.500  0.500  0.500

Which one sits at the top of the stability order? #w does.

#w
BaMgZnCd2 | PBE | relaxed

Cell lengths 4.647, 4.652, 7.185 Å; angles 108.89, 108.87, 90.00 degrees
Fractional coordinates of all 5 atoms:
Cd  0.050  0.050  0.101
Zn  0.829  0.829  0.658
Mg  0.196  0.696  0.393
Ba  0.437  0.437  0.874
Cd  0.699  0.199  0.399

#x
BaMgZnCd2 | PBE | relaxed

Cell lengths 5.274, 5.274, 5.208 Å; angles 90.00, 90.00, 90.00 degrees
Fractional coordinates of all 5 atoms:
Cd  0.500  0.000  0.000
Ba  0.500  0.500  0.500
Zn  0.000  0.000  0.000
Mg  0.000  0.000  0.500
Cd  0.000  0.500  0.000

Which one sits at the top of the stability order? #w does.